No. 1
Er4Mg3S8: relaxed, GGA-PBE.

DOS at the Fermi energy = 3.498 states/eV/f.u.
formation energy (no corrections) = -1737 meV/atom

```
data_Er4Mg3S8
_chemical_formula_sum 'Er4 Mg3 S8'
_space_group_name_H-M_alt 'P 1'
_space_group_IT_number 1
_space_group_name_Hall 'P 1'
_cell_length_a 7.6012
_cell_length_b 7.6012
_cell_length_c 7.6045
_cell_angle_alpha 119.81
_cell_angle_beta 119.81
_cell_angle_gamma 89.97
loop_
_atom_site_label
_atom_site_type_symbol
_atom_site_fract_x
_atom_site_fract_y
_atom_site_fract_z
_atom_site_occupancy
Er1 Er 0.0000 0.0000 0.0000 1
Er2 Er 0.0000 0.5000 0.0000 1
Er3 Er 0.5000 0.0000 0.0000 1
Er4 Er 0.5000 0.5000 0.5000 1
Mg1 Mg 0.0000 0.0000 0.5000 1
Mg2 Mg 0.0000 0.5000 0.5000 1
Mg3 Mg 0.5000 0.0000 0.5000 1
S1 S 0.2444 0.7556 0.5000 1
S2 S 0.2456 0.2456 0.4998 1
S3 S 0.2480 0.2480 0.9916 1
S4 S 0.2524 0.7476 0.0000 1
S5 S 0.7476 0.2524 0.0000 1
S6 S 0.7520 0.7520 0.0084 1
S7 S 0.7544 0.7544 0.5002 1
S8 S 0.7556 0.2444 0.5000 1
```

No. 2
RbSrNb: relaxed, GGA-PBE.

E_form = 0.7729 eV per atom
E above lowest polymorph = 1.11 eV per formula unit
DOS at the Fermi energy = 1.984 states/eV/f.u.

```
data_RbSrNb
_chemical_formula_sum 'Rb2 Sr2 Nb2'
_space_group_name_H-M_alt 'P 1'
_space_group_IT_number 1
_space_group_name_Hall 'P 1'
_cell_length_a 6.0502
_cell_length_b 6.0502
_cell_length_c 9.4669
_cell_angle_alpha 90.16
_cell_angle_beta 90.16
_cell_angle_gamma 60.02
loop_
_atom_site_label
_atom_site_type_symbol
_atom_site_fract_x
_atom_site_fract_y
_atom_site_fract_z
_atom_site_occupancy
Rb1 Rb 0.1671 0.1671 0.3726 1
Rb2 Rb 0.8329 0.8329 0.6274 1
Sr1 Sr 0.1665 0.1665 0.9267 1
Sr2 Sr 0.8335 0.8335 0.0733 1
Nb1 Nb 0.5002 0.5002 0.1137 1
Nb2 Nb 0.4998 0.4998 0.8863 1
```

No. 3
HfTiAgMo: relaxed, GGA-PBE.

E_form = 0.0007 eV per atom
DOS at the Fermi energy = 3.328 states/eV/f.u.

```
data_HfTiAgMo
_chemical_formula_sum 'Hf1 Ti1 Ag1 Mo1'
_space_group_name_H-M_alt 'P 1'
_space_group_IT_number 1
_space_group_name_Hall 'P 1'
_cell_length_a 4.6411
_cell_length_b 4.6411
_cell_length_c 4.6411
_cell_angle_alpha 60.00
_cell_angle_beta 60.00
_cell_angle_gamma 60.00
loop_
_atom_site_label
_atom_site_type_symbol
_atom_site_fract_x
_atom_site_fract_y
_atom_site_fract_z
_atom_site_occupancy
Hf1 Hf 0.0000 0.0000 0.0000 1
Ti1 Ti 0.5000 0.5000 0.5000 1
Ag1 Ag 0.2500 0.2500 0.2500 1
Mo1 Mo 0.7500 0.7500 0.7500 1
```